[1]
First-principles (PBE) data for a relaxed structure of Co2BiOs4, as listed in the Open Quantum Materials Database.

Lattice parameters (Å, degrees): 6.338 6.338 2.776 90.00 90.00 90.00
Sites, in units of the cell vectors:
Bi 0.000 0.000 0.000
Os 0.678 0.322 0.749
Os 0.322 0.678 0.749
Co 0.000 0.500 0.000
Co 0.500 0.000 0.000
Os 0.322 0.322 0.251
Os 0.678 0.678 0.251

Properties
crystal system	tetragonal
calculated total energy	-8.272	eV/atom

[2]
First-principles (PBE) data for a relaxed structure of CoBiOsPt, as listed in the Open Quantum Materials Database.

Lattice parameters (Å, degrees): 4.536 4.536 4.536 60.00 60.00 60.00
Sites, in units of the cell vectors:
Os 0.250 0.250 0.250
Pt 0.500 0.500 0.500
Co 0.750 0.750 0.750
Bi 0.000 0.000 0.000

Properties
energy above the lowest structure with this stoichiometry	0.0000	eV per atom
crystal system	cubic
calculated total energy	-6.527	eV/atom

[3]
First-principles (PBE) data for a relaxed structure of CoReBiOs, as listed in the Open Quantum Materials Database.

Lattice parameters (Å, degrees): 4.496 4.496 4.496 60.00 60.00 60.00
Sites, in units of the cell vectors:
Os 0.500 0.500 0.500
Re 0.250 0.250 0.250
Bi 0.000 0.000 0.000
Co 0.750 0.750 0.750

Properties
energy above the lowest structure with this stoichiometry	0.0000	eV per atom
crystal system	cubic
calculated total energy	-7.764	eV/atom

[4]
First-principles (PBE) data for a relaxed structure of ZnCoBiOs, as listed in the Open Quantum Materials Database.

Lattice parameters (Å, degrees): 4.471 4.471 4.471 60.00 60.00 60.00
Sites, in units of the cell vectors:
Bi 0.000 0.000 0.000
Co 0.750 0.750 0.750
Zn 0.500 0.500 0.500
Os 0.250 0.250 0.250

Properties
energy above the lowest structure with this stoichiometry	0.0000	eV per atom
crystal system	cubic
calculated total energy	-5.347	eV/atom

The highest calculated total energy belongs to which entry? ZnCoBiOs

What is the calculated total energy in the first record? -8.272 eV/atom

Number 3 is which compound? CoReBiOs

Which formula does entry 3 have? CoReBiOs